Entry 1:
Computed, not measured: a relaxed structure of Pm2MnCrS6 at the PBE level of DFT.

```
data_Pm2MnCrS6
_chemical_formula_sum 'Pm4 Mn2 Cr2 S12'
_symmetry_space_group_name_H-M 'P 1'
_symmetry_Int_Tables_number 1
_symmetry_space_group_name_Hall 'P 1'
_cell_length_a 6.3124
_cell_length_b 7.0029
_cell_length_c 10.9640
_cell_angle_alpha 90.00
_cell_angle_beta 124.57
_cell_angle_gamma 90.00
loop_
_atom_site_label
_atom_site_fract_x
_atom_site_fract_y
_atom_site_fract_z
Pm1 0.2091 0.1039 0.2500
Pm2 0.2091 0.3961 0.7500
Pm3 0.7909 0.6039 0.2500
Pm4 0.7909 0.8961 0.7500
Mn1 0.5000 0.0000 0.0000
Mn2 0.5000 0.5000 0.5000
Cr1 0.0000 0.0000 0.5000
Cr2 0.0000 0.5000 0.0000
S1 0.1281 0.1889 0.9502
S2 0.1281 0.3111 0.4502
S3 0.2660 0.6836 0.9489
S4 0.2660 0.8164 0.4489
S5 0.3664 0.0224 0.7514
S6 0.3664 0.4776 0.2514
S7 0.6336 0.5224 0.7486
S8 0.6336 0.9776 0.2486
S9 0.7340 0.1836 0.5511
S10 0.7340 0.3164 0.0511
S11 0.8719 0.6889 0.5498
S12 0.8719 0.8111 0.0498
```

Properties
- energy (eV/cell) = -132.83
- crystal system = monoclinic

***

Entry 2:
Computed, not measured: a relaxed structure of PmMnCrSi2 at the PBE level of DFT.

```
data_PmMnCrSi2
_chemical_formula_sum 'Pm2 Mn2 Cr2 Si4'
_symmetry_space_group_name_H-M 'P 1'
_symmetry_Int_Tables_number 1
_symmetry_space_group_name_Hall 'P 1'
_cell_length_a 4.0062
_cell_length_b 4.0062
_cell_length_c 10.4489
_cell_angle_alpha 90.00
_cell_angle_beta 90.00
_cell_angle_gamma 90.00
loop_
_atom_site_label
_atom_site_fract_x
_atom_site_fract_y
_atom_site_fract_z
Pm1 0.0000 0.0000 0.0000
Pm2 0.5000 0.5000 0.5000
Mn1 0.0000 0.5000 0.2500
Mn2 0.5000 0.0000 0.7500
Cr1 0.0000 0.5000 0.7500
Cr2 0.5000 0.0000 0.2500
Si1 0.0000 0.0000 0.3768
Si2 0.0000 0.0000 0.6232
Si3 0.5000 0.5000 0.1232
Si4 0.5000 0.5000 0.8768
```

Properties
- energy (eV/cell) = -73.55
- crystal system = tetragonal

***

Entry 3:
Computed, not measured: a relaxed structure of Pr2MnCrS6 at the PBE level of DFT.

```
data_Pr2MnCrS6
_chemical_formula_sum 'Pr4 Mn2 Cr2 S12'
_symmetry_space_group_name_H-M 'P 1'
_symmetry_Int_Tables_number 1
_symmetry_space_group_name_Hall 'P 1'
_cell_length_a 6.3656
_cell_length_b 7.0356
_cell_length_c 11.0837
_cell_angle_alpha 90.00
_cell_angle_beta 124.58
_cell_angle_gamma 90.00
loop_
_atom_site_label
_atom_site_fract_x
_atom_site_fract_y
_atom_site_fract_z
Pr1 0.2114 0.1002 0.2502
Pr2 0.2114 0.3998 0.7502
Pr3 0.7886 0.6002 0.2498
Pr4 0.7886 0.8998 0.7498
Mn1 0.5000 0.0000 0.0000
Mn2 0.5000 0.5000 0.5000
Cr1 0.0000 0.0000 0.5000
Cr2 0.0000 0.5000 0.0000
S1 0.1342 0.1910 0.9530
S2 0.1342 0.3090 0.4530
S3 0.2661 0.6859 0.9523
S4 0.2661 0.8141 0.4523
S5 0.3575 0.0170 0.7515
S6 0.3575 0.4830 0.2515
S7 0.6425 0.5170 0.7485
S8 0.6425 0.9830 0.2485
S9 0.7339 0.1859 0.5477
S10 0.7339 0.3141 0.0477
S11 0.8658 0.6910 0.5470
S12 0.8658 0.8090 0.0470
```

Properties
- energy (eV/cell) = -132.82
- crystal system = monoclinic

***

Entry 4:
Computed, not measured: a relaxed structure of MnCrPt2 at the PBE level of DFT.

```
data_MnCrPt2
_chemical_formula_sum 'Mn2 Cr2 Pt4'
_symmetry_space_group_name_H-M 'P 1'
_symmetry_Int_Tables_number 1
_symmetry_space_group_name_Hall 'P 1'
_cell_length_a 5.8498
_cell_length_b 7.0843
_cell_length_c 2.9063
_cell_angle_alpha 90.00
_cell_angle_beta 90.00
_cell_angle_gamma 90.00
loop_
_atom_site_label
_atom_site_fract_x
_atom_site_fract_y
_atom_site_fract_z
Mn1 0.0000 0.0000 0.0000
Mn2 0.5000 0.5000 0.0000
Cr1 0.0000 0.5000 0.0000
Cr2 0.5000 0.0000 0.0000
Pt1 0.2500 0.2500 0.5000
Pt2 0.2500 0.7500 0.5000
Pt3 0.7500 0.2500 0.5000
Pt4 0.7500 0.7500 0.5000
```

Properties
- energy of formation from the pure elements (eV/atom) = -0.22
- crystal system = orthorhombic

***

Entry 5:
Computed, not measured: a relaxed structure of MnCrPt2 at the PBE level of DFT.

```
data_MnCrPt2
_chemical_formula_sum 'Mn1 Cr1 Pt2'
_symmetry_space_group_name_H-M 'P 1'
_symmetry_Int_Tables_number 1
_symmetry_space_group_name_Hall 'P 1'
_cell_length_a 2.8457
_cell_length_b 4.3943
_cell_length_c 4.6752
_cell_angle_alpha 90.00
_cell_angle_beta 90.00
_cell_angle_gamma 90.00
loop_
_atom_site_label
_atom_site_fract_x
_atom_site_fract_y
_atom_site_fract_z
Mn1 0.0000 0.0000 0.0000
Cr1 0.0000 0.5000 0.3495
Pt1 0.5000 0.0000 0.4891
Pt2 0.5000 0.5000 0.8519
```

Properties
- energy of formation from the pure elements (eV/atom) = -0.29
- crystal system = orthorhombic

***

Entry 6:
Computed, not measured: a relaxed structure of MnCrPt2 at the PBE level of DFT.

```
data_MnCrPt2
_chemical_formula_sum 'Mn4 Cr4 Pt8'
_symmetry_space_group_name_H-M 'P 1'
_symmetry_Int_Tables_number 1
_symmetry_space_group_name_Hall 'P 1'
_cell_length_a 5.3400
_cell_length_b 5.3400
_cell_length_c 11.0323
_cell_angle_alpha 90.00
_cell_angle_beta 90.00
_cell_angle_gamma 90.00
loop_
_atom_site_label
_atom_site_fract_x
_atom_site_fract_y
_atom_site_fract_z
Mn1 0.0000 0.0000 0.0000
Mn2 0.0000 0.5000 0.2500
Mn3 0.5000 0.0000 0.7500
Mn4 0.5000 0.5000 0.5000
Cr1 0.0000 0.0000 0.5000
Cr2 0.0000 0.5000 0.7500
Cr3 0.5000 0.0000 0.2500
Cr4 0.5000 0.5000 0.0000
Pt1 0.2454 0.2500 0.1250
Pt2 0.2500 0.7454 0.3750
Pt3 0.2500 0.7546 0.8750
Pt4 0.2546 0.2500 0.6250
Pt5 0.7454 0.7500 0.6250
Pt6 0.7500 0.2454 0.8750
Pt7 0.7500 0.2546 0.3750
Pt8 0.7546 0.7500 0.1250
```

Properties
- energy of formation from the pure elements (eV/atom) = 0.88
- crystal system = tetragonal

***

Entry 7:
Computed, not measured: a relaxed structure of Mn2CrPt2 at the PBE level of DFT.

```
data_Mn2CrPt2
_chemical_formula_sum 'Mn4 Cr2 Pt4'
_symmetry_space_group_name_H-M 'P 1'
_symmetry_Int_Tables_number 1
_symmetry_space_group_name_Hall 'P 1'
_cell_length_a 7.2797
_cell_length_b 7.2797
_cell_length_c 2.6541
_cell_angle_alpha 90.00
_cell_angle_beta 90.00
_cell_angle_gamma 90.00
loop_
_atom_site_label
_atom_site_fract_x
_atom_site_fract_y
_atom_site_fract_z
Mn1 0.1698 0.3302 0.0000
Mn2 0.3302 0.8302 0.0000
Mn3 0.6698 0.1698 0.0000
Mn4 0.8302 0.6698 0.0000
Cr1 0.0000 0.0000 0.5000
Cr2 0.5000 0.5000 0.5000
Pt1 0.1306 0.6306 0.5000
Pt2 0.3694 0.1306 0.5000
Pt3 0.6306 0.8694 0.5000
Pt4 0.8694 0.3694 0.5000
```

Properties
- energy of formation from the pure elements (eV/atom) = 0.30
- crystal system = tetragonal

***

Entry 8:
Computed, not measured: a relaxed structure of MnCrPt2 at the PBE level of DFT.

```
data_MnCrPt2
_chemical_formula_sum 'Mn2 Cr2 Pt4'
_symmetry_space_group_name_H-M 'P 1'
_symmetry_Int_Tables_number 1
_symmetry_space_group_name_Hall 'P 1'
_cell_length_a 4.1292
_cell_length_b 4.1292
_cell_length_c 7.0582
_cell_angle_alpha 90.00
_cell_angle_beta 90.00
_cell_angle_gamma 90.00
loop_
_atom_site_label
_atom_site_fract_x
_atom_site_fract_y
_atom_site_fract_z
Mn1 0.0000 0.0000 0.0000
Mn2 0.5000 0.5000 0.5000
Cr1 0.0000 0.0000 0.5000
Cr2 0.5000 0.5000 0.0000
Pt1 0.0000 0.5000 0.2500
Pt2 0.0000 0.5000 0.7500
Pt3 0.5000 0.0000 0.2500
Pt4 0.5000 0.0000 0.7500
```

Properties
- energy of formation from the pure elements (eV/atom) = -0.21
- crystal system = tetragonal

***

Entry 9:
Computed, not measured: a relaxed structure of Mn2CrPt9 at the PBE level of DFT.

```
data_Mn2CrPt9
_chemical_formula_sum 'Mn2 Cr1 Pt9'
_symmetry_space_group_name_H-M 'P 1'
_symmetry_Int_Tables_number 1
_symmetry_space_group_name_Hall 'P 1'
_cell_length_a 3.9292
_cell_length_b 3.9292
_cell_length_c 11.7657
_cell_angle_alpha 90.00
_cell_angle_beta 90.00
_cell_angle_gamma 90.00
loop_
_atom_site_label
_atom_site_fract_x
_atom_site_fract_y
_atom_site_fract_z
Mn1 0.0000 0.0000 0.1667
Mn2 0.0000 0.0000 0.8333
Cr1 0.0000 0.0000 0.5000
Pt1 0.0000 0.5000 0.0000
Pt2 0.0000 0.5000 0.3350
Pt3 0.0000 0.5000 0.6650
Pt4 0.5000 0.0000 0.0000
Pt5 0.5000 0.0000 0.3350
Pt6 0.5000 0.0000 0.6650
Pt7 0.5000 0.5000 0.1671
Pt8 0.5000 0.5000 0.5000
Pt9 0.5000 0.5000 0.8329
```

Properties
- energy of formation from the pure elements (eV/atom) = -0.33
- crystal system = tetragonal

***

Entry 10:
Computed, not measured: a relaxed structure of MnCr3Pt at the PBE level of DFT.

```
data_MnCr3Pt
_chemical_formula_sum 'Mn1 Cr3 Pt1'
_symmetry_space_group_name_H-M 'P 1'
_symmetry_Int_Tables_number 1
_symmetry_space_group_name_Hall 'P 1'
_cell_length_a 4.1459
_cell_length_b 4.1459
_cell_length_c 4.1459
_cell_angle_alpha 90.00
_cell_angle_beta 90.00
_cell_angle_gamma 90.00
loop_
_atom_site_label
_atom_site_fract_x
_atom_site_fract_y
_atom_site_fract_z
Mn1 0.0000 0.0000 0.0000
Cr1 0.0000 0.0000 0.5000
Cr2 0.0000 0.5000 0.0000
Cr3 0.5000 0.0000 0.0000
Pt1 0.5000 0.5000 0.5000
```

Properties
- energy of formation from the pure elements (eV/atom) = 0.93
- crystal system = cubic

***

Entry 11:
Computed, not measured: a relaxed structure of MnCrPt2 at the PBE level of DFT.

```
data_MnCrPt2
_chemical_formula_sum 'Mn3 Cr3 Pt6'
_symmetry_space_group_name_H-M 'P 1'
_symmetry_Int_Tables_number 1
_symmetry_space_group_name_Hall 'P 1'
_cell_length_a 2.7458
_cell_length_b 2.7458
_cell_length_c 26.3999
_cell_angle_alpha 90.00
_cell_angle_beta 90.00
_cell_angle_gamma 120.00
loop_
_atom_site_label
_atom_site_fract_x
_atom_site_fract_y
_atom_site_fract_z
Mn1 0.0000 0.0000 0.0000
Mn2 0.3333 0.6667 0.6667
Mn3 0.6667 0.3333 0.3333
Cr1 0.0000 0.0000 0.5000
Cr2 0.3333 0.6667 0.1667
Cr3 0.6667 0.3333 0.8333
Pt1 0.0000 0.0000 0.2483
Pt2 0.0000 0.0000 0.7517
Pt3 0.3333 0.6667 0.4184
Pt4 0.3333 0.6667 0.9149
Pt5 0.6667 0.3333 0.0851
Pt6 0.6667 0.3333 0.5816
```

Properties
- energy of formation from the pure elements (eV/atom) = -0.11
- crystal system = trigonal

***

Entry 12:
Computed, not measured: a relaxed structure of MnCr2Pt9 at the PBE level of DFT.

```
data_MnCr2Pt9
_chemical_formula_sum 'Mn1 Cr2 Pt9'
_symmetry_space_group_name_H-M 'P 1'
_symmetry_Int_Tables_number 1
_symmetry_space_group_name_Hall 'P 1'
_cell_length_a 3.9235
_cell_length_b 3.9235
_cell_length_c 11.7626
_cell_angle_alpha 90.00
_cell_angle_beta 90.00
_cell_angle_gamma 90.00
loop_
_atom_site_label
_atom_site_fract_x
_atom_site_fract_y
_atom_site_fract_z
Mn1 0.0000 0.0000 0.0000
Cr1 0.0000 0.0000 0.3345
Cr2 0.0000 0.0000 0.6655
Pt1 0.0000 0.5000 0.1680
Pt2 0.0000 0.5000 0.5000
Pt3 0.0000 0.5000 0.8320
Pt4 0.5000 0.0000 0.1680
Pt5 0.5000 0.0000 0.5000
Pt6 0.5000 0.0000 0.8320
Pt7 0.5000 0.5000 0.0000
Pt8 0.5000 0.5000 0.3337
Pt9 0.5000 0.5000 0.6663
```

Properties
- energy of formation from the pure elements (eV/atom) = -0.30
- crystal system = tetragonal